No. 1
CdAgBi2Pb: relaxed, PBE.

Structure (CIF):
```
data_CdAgBi2Pb
_chemical_formula_sum 'Cd1 Ag1 Bi2 Pb1'
_space_group_name_H-M_alt 'P 1'
_space_group_IT_number 1
_space_group_name_Hall 'P 1'
_cell_length_a 5.6050
_cell_length_b 5.6050
_cell_length_c 5.2064
_cell_angle_alpha 90.00
_cell_angle_beta 90.00
_cell_angle_gamma 90.00
loop_
_atom_site_label
_atom_site_fract_x
_atom_site_fract_y
_atom_site_fract_z
Cd1 0.0000 0.0000 0.0000
Ag1 0.0000 0.0000 0.5000
Bi1 0.0000 0.5000 0.5000
Bi2 0.5000 0.0000 0.5000
Pb1 0.5000 0.5000 0.0000
```

Computed properties:
Final energy in eV per cell: -13.525
SG: P4/mmm
Energy of formation from the pure elements in meV per atom: 342

No. 2
CdAgBiPd: relaxed, PBE.

Structure (CIF):
```
data_CdAgBiPd
_chemical_formula_sum 'Cd1 Ag1 Bi1 Pd1'
_space_group_name_H-M_alt 'P 1'
_space_group_IT_number 1
_space_group_name_Hall 'P 1'
_cell_length_a 4.9070
_cell_length_b 4.9070
_cell_length_c 4.9070
_cell_angle_alpha 60.00
_cell_angle_beta 60.00
_cell_angle_gamma 60.00
loop_
_atom_site_label
_atom_site_fract_x
_atom_site_fract_y
_atom_site_fract_z
Cd1 0.0000 0.0000 0.0000
Ag1 0.2500 0.2500 0.2500
Bi1 0.5000 0.5000 0.5000
Pd1 0.7500 0.7500 0.7500
```

Computed properties:
Final energy in eV per cell: -13.054
SG: F-43m
Energy of formation from the pure elements in meV per atom: -53

Calculated DOS(E_F) (states/eV per cell), listed in the same order as above: 3.8; 2.2
Calculated M_tot (μB/cell), listed in the same order as above: 0.0; 0.0